(1)
Here is a relaxed FeSi2As crystal from the Alexandria database. Energies are from PBE-GGA.

Summary:
* raw formation energy: 448 meV/atom
* crystal system: orthorhombic
* space-group type: Pmmm (47)

Unit cell a=3.249 b=3.942 c=4.546 alpha=90.00 beta=90.00 gamma=90.00
Element x y z (fractional)
Fe1 0.000 0.000 0.000
Si1 0.000 0.500 0.500
Si2 0.500 0.000 0.500
As1 0.500 0.500 0.000

(2)
Here is a relaxed Fe3SiAs crystal from the Alexandria database. Energies are from PBE-GGA.

Summary:
* raw formation energy: 632 meV/atom
* crystal system: cubic
* space-group type: Pm-3m (221)

Unit cell a=4.265 b=4.265 c=4.265 alpha=90.00 beta=90.00 gamma=90.00
Element x y z (fractional)
Fe1 0.000 0.000 0.500
Fe2 0.000 0.500 0.000
Fe3 0.500 0.000 0.000
Si1 0.000 0.000 0.000
As1 0.500 0.500 0.500

(3)
Here is a relaxed FeSi2As crystal from the Alexandria database. Energies are from PBE-GGA.

Summary:
* raw formation energy: 376 meV/atom
* crystal system: orthorhombic
* space-group type: Immm (71)

Unit cell a=4.727 b=4.727 c=4.727 alpha=139.31 beta=123.48 gamma=71.95
Element x y z (fractional)
Fe1 0.000 0.000 0.000
Si1 0.246 0.746 0.500
Si2 0.754 0.254 0.500
As1 0.500 0.500 0.000

(4)
Here is a relaxed FeSi2As crystal from the Alexandria database. Energies are from PBE-GGA.

Summary:
* raw formation energy: 354 meV/atom
* crystal system: tetragonal
* space-group type: I-42d (122)

Unit cell a=6.483 b=6.483 c=6.483 alpha=130.17 beta=130.17 gamma=73.14
Element x y z (fractional)
Fe1 0.000 0.000 0.000
Fe2 0.750 0.250 0.500
Si1 0.090 0.625 0.965
Si2 0.375 0.340 0.465
Si3 0.660 0.125 0.035
Si4 0.875 0.910 0.535
As1 0.250 0.750 0.500
As2 0.500 0.500 0.000

(5)
Here is a relaxed FeSi2As crystal from the Alexandria database. Energies are from PBE-GGA.

Summary:
* raw formation energy: 154 meV/atom
* crystal system: trigonal
* space-group type: R-3m (166)

Unit cell a=8.231 b=8.231 c=8.231 alpha=19.94 beta=19.94 gamma=19.94
Element x y z (fractional)
Fe1 0.000 0.000 0.000
Si1 0.264 0.264 0.264
Si2 0.736 0.736 0.736
As1 0.500 0.500 0.500

(6)
Here is a relaxed FeSiAs crystal from the Alexandria database. Energies are from PBE-GGA.

Summary:
* raw formation energy: 65 meV/atom
* crystal system: tetragonal
* space-group type: I4mm (107)

Unit cell a=5.898 b=5.898 c=5.898 alpha=152.92 beta=152.92 gamma=38.68
Element x y z (fractional)
Fe1 0.000 0.000 0.000
Si1 0.628 0.628 0.000
As1 0.359 0.359 0.000